Material: K2PSe
Method: DFT, PBE
State: relaxed

## Properties
Space-group type: No. 225
E (eV for the cell shown): -11.51

Unit cell a=5.6195 b=5.6195 c=5.6195 alpha=60.00 beta=60.00 gamma=60.00
With the nearest neighbours (Å) after each atom.
Atoms (fractional coordinates):
P1 0.0000 0.0000 0.0000  8 K 3.44
K1 0.7500 0.7500 0.7500  4 Se 3.44, 4 P 3.44
K2 0.2500 0.2500 0.2500  4 Se 3.44, 4 P 3.44
Se1 0.5000 0.5000 0.5000  8 K 3.44

***

Material: KPSe2
Method: DFT, PBE
State: relaxed

## Properties
Space-group type: No. 122
E (eV for the cell shown): -29.80

Unit cell a=6.8941 b=6.8941 c=7.6181 alpha=63.10 beta=63.10 gamma=90.00
With the nearest neighbours (Å) after each atom.
Atoms (fractional coordinates):
K1 0.7500 0.2500 0.5000  4 Se 3.40
K2 0.0000 0.0000 0.0000  4 Se 3.40
Se1 0.8750 0.7571 0.7500  2 P 2.44
Se2 0.5071 0.1250 0.2500  2 P 2.44
Se3 0.3750 0.4929 0.7500  2 P 2.44
Se4 0.2429 0.6250 0.2500  2 P 2.44
P1 0.2500 0.7500 0.5000  4 Se 2.44
P2 0.5000 0.5000 0.0000  4 Se 2.44

***

Material: KPSe2
Method: DFT, PBE
State: relaxed

## Properties
Space-group type: No. 8
E (eV for the cell shown): -15.12

Unit cell a=6.6600 b=6.6600 c=4.8449 alpha=68.75 beta=68.75 gamma=41.31
With the nearest neighbours (Å) after each atom.
Atoms (fractional coordinates):
P1 0.2005 0.2005 0.9250  1 Se 2.18
Se1 0.7587 0.7587 0.8669  2 P 2.44
Se2 0.0107 0.0107 0.1138  1 P 2.18
K1 0.5301 0.5301 0.5944  6 Se 3.38-3.57

***

Material: K2PSe
Method: DFT, PBE
State: relaxed

## Properties
Space-group type: No. 216
E (eV for the cell shown): -11.20

Unit cell a=5.3919 b=5.3919 c=5.3919 alpha=60.00 beta=60.00 gamma=60.00
With the nearest neighbours (Å) after each atom.
Atoms (fractional coordinates):
P1 0.5000 0.5000 0.5000  4 Se 3.30, 4 K 3.30
K1 0.0000 0.0000 0.0000  4 K 3.30, 4 Se 3.30
K2 0.2500 0.2500 0.2500  4 P 3.30, 4 K 3.30
Se1 0.7500 0.7500 0.7500  4 K 3.30, 4 P 3.30

***

Material: KPSe2
Method: DFT, PBE
State: relaxed

## Properties
Space-group type: No. 44
E (eV for the cell shown): -14.05

Unit cell a=6.2903 b=6.2903 c=6.2903 alpha=149.58 beta=126.66 gamma=62.65
With the nearest neighbours (Å) after each atom.
Atoms (fractional coordinates):
Se1 0.0458 0.0458 0.0000  2 P 2.32
Se2 0.7722 0.2722 0.5000  4 Se 3.30-3.37, 4 P 3.37, 4 K 3.51-3.63
P1 0.1978 0.6978 0.5000  2 Se 2.32
K1 0.4841 0.4841 0.0000  2 K 3.30, 8 Se 3.34-3.63, 4 P 3.49-3.64

***

Material: KPSe2
Method: DFT, PBE
State: relaxed

## Properties
Space-group type: No. 216
E (eV for the cell shown): -11.73

Unit cell a=5.0892 b=5.0892 c=5.0892 alpha=60.00 beta=60.00 gamma=60.00
With the nearest neighbours (Å) after each atom.
Atoms (fractional coordinates):
Se1 0.2500 0.2500 0.2500  4 Se 3.12, 4 K 3.12
Se2 0.0000 0.0000 0.0000  4 P 3.12, 4 Se 3.12
K1 0.5000 0.5000 0.5000  4 Se 3.12, 4 P 3.12
P1 0.7500 0.7500 0.7500  4 Se 3.12, 4 K 3.12

***

Material: K2PSe
Method: DFT, PBE
State: relaxed

## Properties
Space-group type: No. 47
E (eV for the cell shown): -11.87

Unit cell a=2.8370 b=6.0580 c=6.6264 alpha=90.00 beta=90.00 gamma=90.00
With the nearest neighbours (Å) after each atom.
Atoms (fractional coordinates):
Se1 0.5000 0.5000 0.8750  2 Se 2.84
K1 0.5000 0.5000 0.3750  2 K 2.84
K2 0.0000 0.0000 0.8750  2 K 2.84
P1 0.0000 0.0000 0.3751  2 P 2.84

***

Material: KPSe
Method: DFT, PBE
State: relaxed

## Properties
Space-group type: No. 44
E (eV for the cell shown): -10.63

Unit cell a=5.4686 b=5.4686 c=5.4686 alpha=139.26 beta=121.70 gamma=73.55
With the nearest neighbours (Å) after each atom.
Atoms (fractional coordinates):
Se1 0.6212 0.6212 0.0000  1 P 2.15
K1 0.0031 0.0031 0.0000  5 P 3.26-3.46, 5 Se 3.35-3.43
P1 0.3757 0.3757 0.0000  1 Se 2.15

***

Material: KSnPSe6
Method: DFT, PBE
State: relaxed

## Properties
Space-group type: No. 1
E (eV for the cell shown): -34.32

Unit cell a=8.5016 b=7.4557 c=8.1280 alpha=81.86 beta=71.17 gamma=38.24
With the nearest neighbours (Å) after each atom.
Atoms (fractional coordinates):
Se1 0.4077 0.5897 0.3397  1 P 2.31
Se2 0.4286 0.1106 0.2486  1 Se 2.40
Se3 0.1130 0.5125 0.7063  1 P 2.33, 1 Se 2.38
Se4 0.3029 0.0640 0.7737  1 Se 2.38, 1 Sn 2.63
Se5 0.6528 0.3646 0.6975  1 P 2.32
Se6 0.0101 0.4363 0.2020  1 Se 2.40, 1 Sn 2.66
P1 0.5356 0.2722 0.5359  3 Se 2.31-2.33
Sn1 0.5527 0.7336 0.4669  5 Se 2.63-2.77
K1 0.9963 0.9167 0.0294  8 Se 3.55-3.89, 1 P 3.96

***

Material: KSrPSe4
Method: DFT, PBE
State: relaxed

## Properties
Space-group type: No. 11
E (eV for the cell shown): -58.29

Unit cell a=7.0629 b=7.0399 c=9.3097 alpha=90.00 beta=106.98 gamma=90.00
With the nearest neighbours (Å) after each atom.
Atoms (fractional coordinates):
P1 0.2028 0.7500 0.3106  4 Se 2.22-2.23
P2 0.7972 0.2500 0.6894  4 Se 2.22-2.23
K1 0.7525 0.7500 0.9393  8 Se 3.42-3.81
K2 0.2475 0.2500 0.0607  8 Se 3.42-3.81
Se1 0.3719 0.7500 0.5536  1 P 2.23
Se2 0.0011 0.4992 0.2656  1 P 2.23
Se3 0.6046 0.2500 0.8395  1 P 2.22
Se4 0.9989 0.9992 0.7344  1 P 2.23
Se5 0.9989 0.5008 0.7344  1 P 2.23
Se6 0.0011 0.0008 0.2656  1 P 2.23
Se7 0.3955 0.7500 0.1605  1 P 2.22
Se8 0.6281 0.2500 0.4464  1 P 2.23
Sr1 0.2370 0.2500 0.5504  6 Se 3.15-3.25
Sr2 0.7630 0.7500 0.4496  6 Se 3.15-3.25

***

Material: KTaPSe6
Method: DFT, PBE
State: relaxed

## Properties
Space-group type: No. 149
E (eV for the cell shown): -42.56

Unit cell a=6.4114 b=6.4113 c=7.7705 alpha=90.00 beta=90.00 gamma=60.00
With the nearest neighbours (Å) after each atom.
Atoms (fractional coordinates):
Se1 0.3676 0.6199 0.3102  1 P 2.45, 1 Ta 2.55
Se2 0.6198 0.3677 0.6898  1 P 2.45, 1 Ta 2.55
Se3 0.6198 0.0125 0.3102  1 P 2.45, 1 Ta 2.55
Se4 0.0124 0.3677 0.3102  1 P 2.45, 1 Ta 2.55
Se5 0.3677 0.0125 0.6898  1 P 2.45, 1 Ta 2.55
Se6 0.0124 0.6198 0.6898  1 P 2.45, 1 Ta 2.55
K1 0.0000 0.0000 0.0000  6 Se 3.40
Ta1 0.6666 0.6667 0.5000  6 Se 2.55
P1 0.3333 0.3333 0.5000  6 Se 2.45

***

Material: KTeP2Se8
Method: DFT, PBE
State: relaxed

## Properties
Space-group type: No. 148
E (eV for the cell shown): -44.39

Unit cell a=6.3239 b=6.3239 c=10.7872 alpha=72.96 beta=72.96 gamma=60.00
With the nearest neighbours (Å) after each atom.
Atoms (fractional coordinates):
Se1 0.5972 0.3184 0.1713  1 P 2.27
Se2 0.0868 0.4028 0.8287  1 P 2.27
Se3 0.6816 0.0868 0.8287  1 P 2.27
Se4 0.3184 0.9132 0.1713  1 P 2.27
Se5 0.4028 0.6816 0.8287  1 P 2.27
Se6 0.8163 0.8163 0.5512  1 P 2.17
Se7 0.1837 0.1837 0.4488  1 P 2.17
Se8 0.9132 0.5972 0.1713  1 P 2.27
K1 0.5000 0.5000 0.5000  12 Se 3.69-3.83
Te1 0.0000 0.0000 0.0000  6 Se 2.87
P1 0.7451 0.7451 0.7648  4 Se 2.17-2.27
P2 0.2549 0.2549 0.2352  4 Se 2.17-2.27

***

Material: KTiP2Se8
Method: DFT, PBE
State: relaxed

## Properties
Space-group type: No. 147
E (eV for the cell shown): -52.41

Unit cell a=6.3545 b=6.3545 c=9.2952 alpha=90.00 beta=90.00 gamma=120.00
With the nearest neighbours (Å) after each atom.
Atoms (fractional coordinates):
Se1 0.6606 0.9852 0.3444  1 P 2.27
Se2 0.0148 0.6754 0.3444  1 P 2.27
Se3 0.3333 0.6667 0.9547  1 P 2.18
Se4 0.9852 0.3246 0.6556  1 P 2.27
Se5 0.3246 0.3394 0.3444  1 P 2.27
Se6 0.3394 0.0148 0.6556  1 P 2.27
Se7 0.6754 0.6606 0.6556  1 P 2.27
Se8 0.6667 0.3333 0.0453  1 P 2.18
K1 0.0000 0.0000 0.0000  12 Se 3.69-3.83
P1 0.3333 0.6667 0.7204  4 Se 2.18-2.27
P2 0.6667 0.3333 0.2796  4 Se 2.18-2.27
Ti1 0.0000 0.0000 0.5000  6 Se 2.56

***

Material: KTlPSe3
Method: DFT, PBE
State: relaxed

## Properties
Space-group type: No. 12
E (eV for the cell shown): -45.17

Unit cell a=7.2170 b=7.2170 c=12.8568 alpha=50.37 beta=50.37 gamma=68.42
With the nearest neighbours (Å) after each atom.
Atoms (fractional coordinates):
P1 0.8964 0.8964 0.1401  3 Se 2.20-2.24, 1 P 2.31
P2 0.1036 0.1036 0.8599  3 Se 2.20-2.24, 1 P 2.31
K1 0.2582 0.2582 0.0964  5 Se 3.40-3.51
K2 0.7418 0.7418 0.9036  5 Se 3.40-3.51
Tl1 0.2377 0.7623 0.5000  4 Se 3.11-3.32
Tl2 0.7623 0.2377 0.5000  4 Se 3.11-3.32
Se1 0.8408 0.2900 0.7946  1 P 2.20
Se2 0.2900 0.8408 0.7946  1 P 2.20
Se3 0.1592 0.7100 0.2054  1 P 2.20
Se4 0.6360 0.6360 0.2451  1 P 2.24
Se5 0.3640 0.3640 0.7549  1 P 2.24
Se6 0.7100 0.1592 0.2054  1 P 2.20

***

Material: KTlPSe4
Method: DFT, PBE
State: relaxed

## Properties
Space-group type: No. 11
E (eV for the cell shown): -51.73

Unit cell a=7.0772 b=6.0385 c=11.5622 alpha=90.00 beta=99.35 gamma=90.00
With the nearest neighbours (Å) after each atom.
Atoms (fractional coordinates):
P1 0.8218 0.2500 0.7375  4 Se 2.18-2.27
P2 0.1782 0.7500 0.2625  4 Se 2.18-2.27
Se1 0.0471 0.5091 0.8013  1 P 2.27
Se2 0.9529 0.4909 0.1987  1 P 2.27
Se3 0.9529 0.0091 0.1987  1 P 2.27
Se4 0.7450 0.2500 0.5469  1 P 2.18
Se5 0.0471 0.9909 0.8013  1 P 2.27
Se6 0.4262 0.7500 0.1718  1 P 2.19
Se7 0.5738 0.2500 0.8282  1 P 2.19
Se8 0.2550 0.7500 0.4531  1 P 2.18
Tl1 0.2660 0.2500 0.0553  7 Se 3.31-3.67
Tl2 0.7340 0.7500 0.9447  7 Se 3.31-3.67
K1 0.2556 0.2500 0.5737  7 Se 3.33-3.58
K2 0.7444 0.7500 0.4263  7 Se 3.33-3.58

***

Material: K2U2PSe2
Method: DFT, PBE
State: relaxed

## Properties
Space-group type: No. 139
E (eV for the cell shown): -41.84

Unit cell a=5.2376 b=5.2376 c=9.0800 alpha=106.76 beta=106.76 gamma=90.00
With the nearest neighbours (Å) after each atom.
Atoms (fractional coordinates):
U1 0.5000 0.0000 0.0000  2 P 2.62
U2 0.0000 0.5000 0.0000  2 P 2.62
Se1 0.3919 0.3919 0.7839  4 U 3.17, 1 K 3.33
Se2 0.6081 0.6081 0.2161  4 U 3.17, 1 K 3.33
K1 0.8088 0.8088 0.6177  1 P 3.17, 1 Se 3.33
K2 0.1912 0.1912 0.3823  1 P 3.17, 1 Se 3.33
P1 0.0000 0.0000 0.0000  4 U 2.62

***

Material: KUP2Se8
Method: DFT, PBE
State: relaxed

## Properties
Space-group type: No. 148
E (eV for the cell shown): -56.17

Unit cell a=6.5051 b=6.5051 c=10.5253 alpha=72.00 beta=72.00 gamma=60.00
With the nearest neighbours (Å) after each atom.
Atoms (fractional coordinates):
Se1 0.6005 0.3005 0.1612  1 P 2.29
Se2 0.9377 0.6005 0.1612  1 P 2.29
Se3 0.3005 0.9377 0.1612  1 P 2.29
Se4 0.3995 0.6995 0.8388  1 P 2.29
Se5 0.1816 0.1816 0.4551  1 P 2.13
Se6 0.6995 0.0623 0.8388  1 P 2.29
Se7 0.0623 0.3995 0.8388  1 P 2.29
Se8 0.8184 0.8184 0.5449  1 P 2.13
P1 0.7462 0.7462 0.7613  4 Se 2.13-2.29
P2 0.2538 0.2538 0.2387  4 Se 2.13-2.29
K1 0.5000 0.5000 0.5000  12 Se 3.78-3.92
U1 0.0000 0.0000 0.0000  6 Se 2.77

***

Material: KP2WSe8
Method: DFT, PBE
State: relaxed

## Properties
Space-group type: No. 148
E (eV for the cell shown): -55.24

Unit cell a=6.3110 b=6.3110 c=10.5834 alpha=72.65 beta=72.65 gamma=60.00
With the nearest neighbours (Å) after each atom.
Atoms (fractional coordinates):
Se1 0.0691 0.3664 0.8575  1 P 2.32, 1 W 2.52
Se2 0.7070 0.0691 0.8575  1 P 2.32, 1 W 2.52
Se3 0.2930 0.9309 0.1425  1 P 2.32, 1 W 2.52
Se4 0.8087 0.8087 0.5740  1 P 2.15
Se5 0.9309 0.6336 0.1425  1 P 2.32, 1 W 2.52
Se6 0.6336 0.2930 0.1425  1 P 2.32, 1 W 2.52
Se7 0.1913 0.1913 0.4260  1 P 2.15
Se8 0.3664 0.7070 0.8575  1 P 2.32, 1 W 2.52
P1 0.2635 0.2635 0.2096  4 Se 2.15-2.32
P2 0.7365 0.7365 0.7904  4 Se 2.15-2.32
W1 0.0000 0.0000 0.0000  6 Se 2.52
K1 0.5000 0.5000 0.5000  12 Se 3.72-4.08

***

Material: KZrP2Se8
Method: DFT, PBE
State: relaxed

## Properties
Space-group type: No. 147
E (eV for the cell shown): -53.56

Unit cell a=6.4417 b=6.4417 c=9.3267 alpha=90.00 beta=90.00 gamma=120.00
With the nearest neighbours (Å) after each atom.
Atoms (fractional coordinates):
K1 0.0000 0.0000 0.0000  12 Se 3.73-3.82
Se1 0.3509 0.0138 0.6663  1 P 2.27
Se2 0.9862 0.3371 0.6663  1 P 2.27
Se3 0.0138 0.6629 0.3337  1 P 2.27
Se4 0.6667 0.3333 0.0339  1 P 2.18
Se5 0.6629 0.6491 0.6663  1 P 2.27
Se6 0.3371 0.3509 0.3337  1 P 2.27
Se7 0.6491 0.9862 0.3337  1 P 2.27
Se8 0.3333 0.6667 0.9661  1 P 2.18
P1 0.3333 0.6667 0.7320  4 Se 2.18-2.27
P2 0.6667 0.3333 0.2680  4 Se 2.18-2.27
Zr1 0.0000 0.0000 0.5000  6 Se 2.71

***

Material: KSiP2
Method: DFT, PBE
State: relaxed

## Properties
Space-group type: No. 47
E (eV for the cell shown): -16.97

Unit cell a=4.3660 b=3.3804 c=6.1083 alpha=90.03 beta=90.00 gamma=90.00
With the nearest neighbours (Å) after each atom.
Atoms (fractional coordinates):
K1 0.5000 0.7500 0.7500  2 K 3.38, 8 P 3.40, 4 Si 3.49
Si1 0.5000 0.2500 0.2500  4 P 2.43
P1 0.0000 0.2502 0.0762  1 P 2.12
P2 0.0000 0.2498 0.4238  1 P 2.12

***

What energy relative to the elements, uncorrected values result from the calculations? In sequence: -0.106; -0.355; -0.411; -0.028; -0.143; 0.437; -0.195; -0.212; -0.323; -1.002; -0.366; -0.122; -0.393; -0.543; -0.436; -0.670; -0.424; -0.208; -0.435; 0.094 eV per atom.